The following is a PBEsol calculation of an optimized crystal structure of RbMgPtPb2, from Alexandria.

a = 5.4292 Å, b = 5.7792 Å, c = 5.7792 Å
α = 90.00°, β = 90.00°, γ = 90.00°
Positions (direct):
Rb  0.0000  0.0000  0.0000
Pb  0.0000  0.5000  0.0000
Pb  0.0000  0.0000  0.5000
Mg  0.5000  0.0000  0.0000
Pt  0.5000  0.5000  0.5000



The following is a PBEsol calculation of an optimized crystal structure of Rb3MgPb, from Alexandria.

a = 7.0225 Å, b = 7.0225 Å, c = 7.0225 Å
α = 90.00°, β = 90.00°, γ = 90.00°
Positions (direct):
Rb  0.5000  0.0000  0.0000
Rb  0.0000  0.5000  0.0000
Rb  0.0000  0.0000  0.5000
Mg  0.5000  0.5000  0.5000
Pb  0.0000  0.0000  0.0000



The following is a PBEsol calculation of an optimized crystal structure of MgRe2Pb, from Alexandria.

a = 4.0280 Å, b = 4.5075 Å, c = 4.9457 Å
α = 117.11°, β = 114.03°, γ = 90.00°
Positions (direct):
Pb  0.2635  0.7635  0.5270
Re  0.7149  0.2149  0.4299
Re  0.0288  0.0288  0.0575
Mg  0.4928  0.4928  0.9856

Values from the calculation:
The polymorph energy (0 for the lowest one) is 0 meV/atom.



The following is a PBEsol calculation of an optimized crystal structure of MgRe2Pb, from Alexandria.

a = 2.8513 Å, b = 4.3263 Å, c = 6.0136 Å
α = 90.00°, β = 90.00°, γ = 90.00°
Positions (direct):
Pb  0.5000  0.5000  0.5000
Re  0.0000  0.0000  0.8070
Re  0.0000  0.0000  0.1930
Mg  0.5000  0.5000  0.0000

Values from the calculation:
The polymorph energy (0 for the lowest one) is 147 meV/atom.



The following is a PBEsol calculation of an optimized crystal structure of MgRe2Pb, from Alexandria.

a = 2.9596 Å, b = 5.0968 Å, c = 5.0968 Å
α = 115.67°, β = 90.00°, γ = 90.00°
Positions (direct):
Pb  0.5000  0.5000  0.5000
Mg  0.5000  0.0000  0.0000
Re  0.0000  0.5000  0.0000
Re  0.0000  0.0000  0.5000

Values from the calculation:
The polymorph energy (0 for the lowest one) is 319 meV/atom.



The following is a PBEsol calculation of an optimized crystal structure of MgRhPb2, from Alexandria.

a = 3.4713 Å, b = 4.9092 Å, c = 5.5806 Å
α = 103.29°, β = 90.00°, γ = 110.70°
Positions (direct):
Mg  0.5000  0.0000  0.0000
Rh  0.0000  0.0000  0.5000
Pb  0.2657  0.5314  0.2728
Pb  0.7343  0.4686  0.7272



The following is a PBEsol calculation of an optimized crystal structure of Mg2RhPb2, from Alexandria.

a = 3.7088 Å, b = 3.7088 Å, c = 8.7275 Å
α = 102.27°, β = 102.27°, γ = 90.00°
Positions (direct):
Pb  0.5905  0.5905  0.1810
Pb  0.4095  0.4095  0.8190
Mg  0.7500  0.2500  0.5000
Mg  0.2500  0.7500  0.5000
Rh  0.0000  0.0000  0.0000



The following is a PBEsol calculation of an optimized crystal structure of MgRhPb, from Alexandria.

a = 4.4664 Å, b = 4.4664 Å, c = 4.4664 Å
α = 60.00°, β = 60.00°, γ = 60.00°
Positions (direct):
Rh  0.7500  0.7500  0.7500
Pb  0.5000  0.5000  0.5000
Mg  0.0000  0.0000  0.0000



The following is a PBEsol calculation of an optimized crystal structure of Mg2RhPb, from Alexandria.

a = 3.2332 Å, b = 3.2332 Å, c = 7.4721 Å
α = 90.00°, β = 90.00°, γ = 90.00°
Positions (direct):
Rh  0.5000  0.5000  0.5000
Pb  0.5000  0.5000  0.0000
Mg  0.0000  0.0000  0.3099
Mg  0.0000  0.0000  0.6901



The following is a PBEsol calculation of an optimized crystal structure of MgRhPb2, from Alexandria.

a = 3.4075 Å, b = 3.4069 Å, c = 7.4681 Å
α = 90.00°, β = 89.91°, γ = 90.00°
Positions (direct):
Rh  0.5000  0.5000  0.0000
Pb  0.0002  0.0000  0.7854
Pb  0.9998  0.0000  0.2146
Mg  0.5000  0.5000  0.5000



The following is a PBEsol calculation of an optimized crystal structure of MgRhPb2, from Alexandria.

a = 3.4650 Å, b = 3.4650 Å, c = 8.8825 Å
α = 78.75°, β = 78.75°, γ = 60.00°
Positions (direct):
Rh  0.5000  0.5000  0.5000
Pb  0.2393  0.2393  0.2822
Pb  0.7607  0.7607  0.7178
Mg  0.0000  0.0000  0.0000



The following is a PBEsol calculation of an optimized crystal structure of Mg2RhPb, from Alexandria.

a = 4.1074 Å, b = 4.2366 Å, c = 4.2366 Å
α = 90.00°, β = 90.00°, γ = 90.00°
Positions (direct):
Rh  0.5000  0.0000  0.0000
Mg  0.0000  0.5000  0.0000
Mg  0.0000  0.0000  0.5000
Pb  0.5000  0.5000  0.5000



DOS(E_F)? In order: 5.36 4.21 1.92 2.83 4.14 2.18 2.85 1.72 1.49 2.62 2.82 2.02 states/eV/cell.
Energy of formation? In order: 1.807 0.313 0.666 0.813 0.985 0.030 0.367 -0.180 -0.277 -0.022 0.023 -0.147 eV per atom.
Size of the total moment? In order: 0.000 0.654 0.000 0.001 0.000 0.000 0.000 0.000 0.000 0.000 0.001 0.000 μB/cell.